(1)
An optimized crystal structure of FeHg2Cl, computed with GGA-PBE.

Calculated values
- formation energy without anion corrections (eV per atom) = 0.38
- spin magnetization (μB per formula unit) = 3.3
- Fermi-level density of states (states/eV per cell) = 4.45
- DFT total energy (eV per atom) = -2.35

abc: 3.2661 4.7570 5.5974
angles: 90.00 90.00 90.00
With the nearest neighbours (Å) after each atom.
Fractional coordinates of all 4 atoms:
Fe 0.0000 0.0000 0.0000  4 Cl 2.89
Hg 0.0000 0.5000 0.5000  4 Hg 2.89
Hg 0.5000 0.0000 0.5000  4 Hg 2.89
Cl 0.5000 0.5000 0.0000  4 Fe 2.89

(2)
An optimized crystal structure of Y3Cd3Ag, computed with GGA-PBE.

Calculated values
- spin magnetization (μB per formula unit) = 0.0
- Fermi-level density of states (states/eV per cell) = 7.26
- DFT total energy (eV per atom) = -3.86

abc: 10.7009 10.7009 10.7009
angles: 160.97 153.51 32.82
With the nearest neighbours (Å) after each atom.
Fractional coordinates of all 7 atoms:
Y 0.0000 0.0000 0.0000  7 Cd 3.23-3.26, 2 Y 3.54
Y 0.3952 0.3952 0.0000  2 Ag 3.15, 5 Cd 3.21-3.30
Y 0.7049 0.2049 0.5000  4 Ag 3.29, 8 Cd 3.34-3.54, 2 Y 3.54
Cd 0.1332 0.6332 0.5000  1 Ag 2.77, 2 Cd 2.92
Cd 0.5557 0.5557 0.0000  2 Cd 2.92, 4 Y 3.23
Cd 0.8427 0.8427 0.0000  2 Ag 2.89, 5 Y 3.21-3.23
Ag 0.2680 0.7680 0.5000  3 Cd 2.77-2.89

- The lowest Fermi-level density of states belongs to which entry?
  FeHg2Cl

Please write out number 1 again, unchanged.
An optimized crystal structure of FeHg2Cl, computed with GGA-PBE.

Calculated values
- formation energy without anion corrections (eV per atom) = 0.38
- spin magnetization (μB per formula unit) = 3.3
- Fermi-level density of states (states/eV per cell) = 4.45
- DFT total energy (eV per atom) = -2.35

abc: 3.2661 4.7570 5.5974
angles: 90.00 90.00 90.00
With the nearest neighbours (Å) after each atom.
Fractional coordinates of all 4 atoms:
Fe 0.0000 0.0000 0.0000  4 Cl 2.89
Hg 0.0000 0.5000 0.5000  4 Hg 2.89
Hg 0.5000 0.0000 0.5000  4 Hg 2.89
Cl 0.5000 0.5000 0.0000  4 Fe 2.89